# 1
A PBEsol-optimized structure of AlMoPt. Source: Alexandria, functional SCAN.

Cell and atoms, written as extended XYZ:
```
3
Lattice="4.190 0.000 0.000 2.095 3.628 0.000 2.095 1.209 3.421" Properties=species:S:1:pos:R:3 pbc="T T T"
Al 0.000 0.000 0.000
Mo 4.190 2.419 1.710
Pt 2.095 1.209 0.855
```

For the total DFT energy (no corrections), the calculation gives -38.044 eV per atom. As for the space-group type: No. 216. As for the formation enthalpy at 0 K: -125 kJ/mol of formula units.

---

# 2
A PBEsol-optimized structure of Al2MoPt. Source: Alexandria, functional SCAN.

Cell and atoms, written as extended XYZ:
```
4
Lattice="-1.011 2.535 0.437 -2.317 -0.694 -1.338 -3.091 -2.367 6.581" Properties=species:S:1:pos:R:3 pbc="T T T"
Pt -3.210 -0.263 2.840
Al -2.282 -1.748 4.859
Al -0.809 -0.619 1.722
Mo -1.664 0.920 -0.451
```

For the total DFT energy (no corrections), the calculation gives -30.808 eV per atom. As for the space-group type: No. 123. As for the formation enthalpy at 0 K: -256 kJ/mol of formula units.

---

# 3
A PBEsol-optimized structure of SrAlMo2Pt. Source: Alexandria, functional SCAN.

Cell and atoms, written as extended XYZ:
```
5
Lattice="4.590 0.000 0.000 0.000 4.590 0.000 0.000 0.000 4.926" Properties=species:S:1:pos:R:3 pbc="T T T"
Al 0.000 0.000 2.463
Sr 0.000 0.000 0.000
Pt 2.295 2.295 2.463
Mo 0.000 2.295 0.000
Mo 2.295 0.000 0.000
```

For the total DFT energy (no corrections), the calculation gives -31.086 eV per atom. As for the space-group type: No. 123. As for the formation enthalpy at 0 K: 1405 kJ/mol of formula units.

---

# 4
A PBEsol-optimized structure of AlReMo. Source: Alexandria, functional SCAN.

Cell and atoms, written as extended XYZ:
```
3
Lattice="-2.428 -0.413 -1.869 1.826 -1.406 -2.061 -0.549 -3.123 3.961" Properties=species:S:1:pos:R:3 pbc="T T T"
Re -0.558 -2.644 1.309
Al -1.147 -4.922 0.021
Mo -0.598 -2.317 -1.269
```

For the total DFT energy (no corrections), the calculation gives -38.245 eV per atom. As for the space-group type: No. 107. As for the formation enthalpy at 0 K: -96 kJ/mol of formula units.

---

# 5
A PBEsol-optimized structure of ZrAl2ReMo. Source: Alexandria, functional SCAN.

Cell and atoms, written as extended XYZ:
```
5
Lattice="-0.291 -4.616 0.682 1.878 -0.741 -4.217 4.467 0.011 1.987" Properties=species:S:1:pos:R:3 pbc="T T T"
Al 0.939 -0.371 -2.108
Al -0.146 -2.308 0.341
Re 0.000 0.000 0.000
Mo 3.027 -2.673 -0.774
Zr 2.234 0.006 0.994
```

For the total DFT energy (no corrections), the calculation gives -29.589 eV per atom. As for the space-group type: No. 123. As for the formation enthalpy at 0 K: 409 kJ/mol of formula units.

---

# 6
A PBEsol-optimized structure of AlMoRh2. Source: Alexandria, functional SCAN.

Cell and atoms, written as extended XYZ:
```
4
Lattice="2.748 0.000 0.000 1.374 2.380 0.000 1.374 0.793 8.523" Properties=species:S:1:pos:R:3 pbc="T T T"
Rh 1.374 0.793 2.039
Rh 4.122 2.380 6.484
Mo 2.748 1.587 4.261
Al 0.000 0.000 0.000
```

For the total DFT energy (no corrections), the calculation gives -27.952 eV per atom. As for the space-group type: No. 166. As for the formation enthalpy at 0 K: -157 kJ/mol of formula units.

---

# 7
A PBEsol-optimized structure of AlMoRh2. Source: Alexandria, functional SCAN.

Cell and atoms, written as extended XYZ:
```
4
Lattice="2.760 0.000 0.057 0.000 4.405 0.000 -0.079 0.000 4.612" Properties=species:S:1:pos:R:3 pbc="T T T"
Rh 2.345 0.000 4.412
Rh 2.384 2.202 1.554
Mo 0.977 2.202 3.748
Al 0.996 0.000 1.957
```

For the total DFT energy (no corrections), the calculation gives -28.051 eV per atom. As for the space-group type: No. 6. As for the formation enthalpy at 0 K: -195 kJ/mol of formula units.

---

# 8
A PBEsol-optimized structure of AlMoRh2. Source: Alexandria, functional SCAN.

Cell and atoms, written as extended XYZ:
```
4
Lattice="2.804 0.000 0.000 0.000 2.804 0.000 0.000 0.000 6.949" Properties=species:S:1:pos:R:3 pbc="T T T"
Rh 0.000 0.000 1.619
Rh 0.000 0.000 5.330
Mo 1.402 1.402 3.475
Al 1.402 1.402 0.000
```

For the total DFT energy (no corrections), the calculation gives -28.281 eV per atom. As for the space-group type: No. 123. As for the formation enthalpy at 0 K: -284 kJ/mol of formula units.